# 1
The following is a PBE calculation of crystalline Pr2Mg2Cd15 at its relaxed geometry, from Alexandria via LeMat-Bulk.

The calculation puts the formation energy from the elements at -177 meV per atom.

Cell lengths 10.0765, 10.0765, 15.0801 Å; angles 90.00, 90.00, 120.00 degrees
With the nearest neighbours (Å) after each atom.
Space group R-3m (No. 166, hexagonal axes)
Unique sites:
Pr: 0.0000 0.0000 0.1665 x6  1 Mg 3.50, 15 Cd 3.56-3.85
Mg: 0.0000 0.0000 0.3987 x6  1 Mg 3.06, 12 Cd 3.07-3.34
Cd: 0.0000 0.2949 0.5000 x18  8 Cd 2.94-3.23
Cd: 0.0000 0.5000 0.0000 x9  8 Cd 2.94-2.98, 2 Mg 3.07
Cd: 0.0119 0.5059 0.6453 x18  6 Cd 2.88-3.01

***

# 2
The following is a PBE calculation of crystalline LaMnSiBi at its relaxed geometry, from Alexandria via LeMat-Bulk.

For the energy relative to the lowest polymorph listed for this composition, the calculation gives 81.7 meV per atom. As for the formation energy from raw total energies: -0.2296 eV/atom.

Cell lengths 11.5043, 4.5358, 4.1870 Å; angles 90.00, 111.31, 90.00 degrees
With the nearest neighbours (Å) after each atom.
Space group Cm (No. 8)
Unique sites:
La: 0.0000 0.0000 0.0000 x2  2 Mn 3.25, 4 Si 3.32-3.33, 4 Bi 3.49-3.50
Mn: 0.2178 0.5000 0.2184 x2  2 Si 2.36-2.37
Si: 0.1151 0.5000 0.6158 x2  2 Mn 2.36-2.37
Bi: 0.3475 0.0000 0.3461 x2  2 Mn 2.66, 1 Si 2.87

***

# 3
The following is a PBE calculation of crystalline NiSe at its relaxed geometry, from Alexandria via LeMat-Bulk.

As for the formation energy from raw total energies: -0.2281 eV/atom.

Cell lengths 3.6703, 3.6703, 5.4465 Å; angles 90.00, 90.23, 90.00 degrees
With the nearest neighbours (Å) after each atom.
Space group P2_1/m (No. 11)
Unique sites:
Ni: 0.2499 0.2500 0.0000 x2  4 Se 2.36, 4 Ni 2.59-2.60
Se: 0.2485 0.7500 0.7265 x2  4 Ni 2.36